(1)
## Dy3Ho2TmCuTe2 (GGA-PBE)

Data for an optimized crystal structure of Dy3Ho2TmCuTe2.

```
Dy3Ho2TmCuTe2
1.0
3.918 0.000 0.000
0.000 7.277 4.193
0.000 -7.277 4.193
Dy Ho Tm Cu Te
3 2 1 1 2
Direct
0.000 0.000 0.000
0.000 0.244 0.487
0.000 0.487 0.244
0.500 0.244 0.841
0.500 0.841 0.244
0.500 0.646 0.646
0.500 0.245 0.245
0.000 0.577 0.910
0.000 0.910 0.577
```

Values from the calculation:
Its total magnetization is 0.02 μB/atom. As for the raw total energy: -4.781 eV per atom.

***

(2)
## FeTcBiW (GGA-PBE)

Data for an optimized crystal structure of FeTcBiW.

```
FeTcBiW
1.0
0.000 3.206 3.206
3.206 0.000 3.206
3.206 3.206 0.000
Fe Tc Bi W
1 1 1 1
Direct
0.000 0.000 0.000
0.500 0.500 0.500
0.750 0.750 0.750
0.250 0.250 0.250
```

Values from the calculation:
Its total magnetization is 0.57 μB/atom. The energy above the most stable polymorph in this dataset is 0.00 eV/f.u.

***

(3)
## Hf9SiMo4 (GGA-PBE)

Data for an optimized crystal structure of Hf9SiMo4.

```
Hf9SiMo4
1.0
8.635 0.000 0.000
-4.318 7.478 0.000
0.000 0.000 8.691
Hf Si Mo
18 2 8
Direct
0.075 0.537 0.250
0.198 0.395 0.545
0.198 0.395 0.955
0.198 0.802 0.545
0.198 0.802 0.955
0.395 0.198 0.045
0.395 0.198 0.455
0.463 0.537 0.250
0.463 0.925 0.250
0.537 0.075 0.750
0.537 0.463 0.750
0.605 0.802 0.545
0.605 0.802 0.955
0.802 0.198 0.045
0.802 0.198 0.455
0.802 0.605 0.045
0.802 0.605 0.455
0.925 0.463 0.750
0.333 0.667 0.750
0.667 0.333 0.250
0.000 0.000 0.000
0.000 0.000 0.500
0.110 0.221 0.250
0.110 0.890 0.250
0.221 0.110 0.750
0.779 0.890 0.250
0.890 0.110 0.750
0.890 0.779 0.750
```

Values from the calculation:
Its total magnetization is 0.00 μB/atom. As for the raw total energy: -10.113 eV per atom.

***

(4)
## AlTc2Os (GGA-PBE)

Data for an optimized crystal structure of AlTc2Os.

```
AlTc2Os
1.0
0.000 3.061 3.061
3.061 0.000 3.061
3.061 3.061 0.000
Al Tc Os
1 2 1
Direct
0.000 0.000 0.000
0.500 0.500 0.500
0.750 0.750 0.750
0.250 0.250 0.250
```

Values from the calculation:
Its total magnetization is 0.00 μB/atom. As for the raw total energy: -9.011 eV per atom.

***

(5)
## TaSnAsO (GGA-PBE)

Data for an optimized crystal structure of TaSnAsO.

```
TaSnAsO
1.0
3.741 0.000 0.000
0.000 3.741 0.000
0.000 0.000 10.315
Ta Sn As O
2 2 2 2
Direct
0.250 0.250 0.110
0.750 0.750 0.890
0.250 0.750 0.500
0.750 0.250 0.500
0.250 0.250 0.763
0.750 0.750 0.237
0.250 0.750 0.000
0.750 0.250 0.000
```

Values from the calculation:
Its total magnetization is 0.19 μB/atom. The energy above the most stable polymorph in this dataset is 1.84 eV/f.u.

***

(6)
## LiSc6Cu (GGA-PBE)

Data for an optimized crystal structure of LiSc6Cu.

```
LiSc6Cu
1.0
4.096 2.365 2.981
-4.096 2.365 2.981
0.000 -4.730 2.981
Li Sc Cu
1 6 1
Direct
0.000 0.000 0.000
0.049 0.523 0.259
0.259 0.049 0.523
0.477 0.741 0.951
0.523 0.259 0.049
0.741 0.951 0.477
0.951 0.477 0.741
0.500 0.500 0.500
```

Values from the calculation:
Its total magnetization is 0.00 μB/atom. As for the raw total energy: -5.326 eV per atom.

***

(7)
## TmSiNO (GGA-PBE)

Data for an optimized crystal structure of TmSiNO.

```
TmSiNO
1.0
3.897 0.000 0.000
0.000 3.897 0.000
0.000 0.000 7.132
Tm Si N O
2 2 2 2
Direct
0.250 0.250 0.146
0.750 0.750 0.854
0.250 0.750 0.500
0.750 0.250 0.500
0.250 0.250 0.499
0.750 0.750 0.501
0.250 0.750 0.000
0.750 0.250 0.000
```

Values from the calculation:
Its total magnetization is 0.00 μB/atom. The energy above the most stable polymorph in this dataset is 0.88 eV/f.u.

***

(8)
## AgBSbH6 (GGA-PBE)

Data for an optimized crystal structure of AgBSbH6.

```
AgBSbH6
1.0
0.000 3.402 3.402
3.402 0.000 3.402
3.402 3.402 0.000
Ag B Sb H
1 1 1 6
Direct
0.000 0.000 0.000
0.750 0.750 0.750
0.500 0.500 0.500
0.539 0.539 0.961
0.539 0.961 0.539
0.539 0.961 0.961
0.961 0.539 0.539
0.961 0.539 0.961
0.961 0.961 0.539
```

Values from the calculation:
As for the raw total energy: -3.014 eV per atom.

***

(9)
## NpCo2Si2 (GGA-PBE)

Data for an optimized crystal structure of NpCo2Si2.

```
NpCo2Si2
1.0
-1.928 1.928 4.913
1.928 -1.928 4.913
1.928 1.928 -4.913
Np Co Si
1 2 2
Direct
0.000 0.000 0.000
0.250 0.750 0.500
0.750 0.250 0.500
0.373 0.373 0.000
0.627 0.627 0.000
```

Values from the calculation:
Its total magnetization is 0.31 μB/atom. As for the raw total energy: -8.027 eV per atom.

***

(10)
## RbCuSb (GGA-PBE)

Data for an optimized crystal structure of RbCuSb.

```
RbCuSb
1.0
0.000 3.561 3.561
3.561 0.000 3.561
3.561 3.561 0.000
Rb Cu Sb
1 1 1
Direct
0.000 0.000 0.000
0.250 0.250 0.250
0.500 0.500 0.500
```

Values from the calculation:
The energy above the most stable polymorph in this dataset is 0.00 eV/f.u.

***

(11)
## HfFeGePd (GGA-PBE)

Data for an optimized crystal structure of HfFeGePd.

```
HfFeGePd
1.0
0.000 3.136 3.136
3.136 0.000 3.136
3.136 3.136 0.000
Hf Fe Ge Pd
1 1 1 1
Direct
0.000 0.000 0.000
0.750 0.750 0.750
0.500 0.500 0.500
0.250 0.250 0.250
```

Values from the calculation:
Its total magnetization is 0.41 μB/atom. The energy above the most stable polymorph in this dataset is 0.00 eV/f.u.

***

(12)
## Ta3Au (GGA-PBE)

Data for an optimized crystal structure of Ta3Au.

```
Ta3Au
1.0
5.229 0.000 0.000
0.000 5.229 0.000
0.000 0.000 5.229
Ta Au
6 2
Direct
0.000 0.250 0.500
0.000 0.750 0.500
0.250 0.500 0.000
0.500 0.000 0.250
0.500 0.000 0.750
0.750 0.500 0.000
0.000 0.000 0.000
0.500 0.500 0.500
```

Values from the calculation:
Its total magnetization is 0.12 μB/atom. The formation enthalpy at 0 K comes out at -0.033 eV per atom.